[1]
Material: YMgAgTeSe2
Method: DFT, GGA-PBE
State: optimized geometry

It has space group Cmcm (No. 63), with a = 3.968 Å, b = 13.640 Å, c = 11.131 Å, α = 90.00°, β = 90.00° and γ = 90.00°. The asymmetric unit holds Y at (0.000, 0.000, 0.000), Mg at (0.000, 0.205, 0.250), Ag at (0.000, 0.482, 0.750), Te at (0.000, 0.126, 0.750) and Se at (0.000, 0.357, 0.571).

The crystal system is orthorhombic. As for the calculated volume: 602.38 Å³/cell. The raw total energy is -4.49 eV per atom.

[2]
Material: TmMgAgSe3
Method: DFT, GGA-PBE
State: optimized geometry

It has space group Cmcm (No. 63), with a = 3.875 Å, b = 13.135 Å, c = 10.715 Å, α = 90.00°, β = 90.00° and γ = 90.00°. The asymmetric unit holds Tm at (0.000, 0.000, 0.000), Mg at (0.000, 0.229, 0.250), Ag at (0.000, 0.480, 0.750), Se at (0.000, 0.119, 0.750) and Se at (0.000, 0.352, 0.566).

The crystal system is orthorhombic. As for the calculated volume: 545.36 Å³/cell. The raw total energy is -4.28 eV per atom.

[3]
Material: YMgAgSe3
Method: DFT, GGA-PBE
State: optimized geometry

It has space group Cmcm (No. 63), with a = 3.902 Å, b = 13.172 Å, c = 10.807 Å, α = 90.00°, β = 90.00° and γ = 90.00°. The asymmetric unit holds Y at (0.000, 0.000, 0.000), Mg at (0.000, 0.230, 0.250), Ag at (0.000, 0.481, 0.750), Se at (0.000, 0.119, 0.750) and Se at (0.000, 0.351, 0.570).

The crystal system is orthorhombic. As for the calculated volume: 555.48 Å³/cell. The raw total energy is -4.63 eV per atom.

Question: Which of these has the highest calculated volume?
Answer: YMgAgTeSe2